The following is a PBE calculation of a relaxed Th2ZrAg crystal, from Alexandria.

Cell and atoms, written as POSCAR:
```
Th2ZrAg
1.0
5.3353 0.0000 0.0000
2.6677 4.6205 0.0000
2.6677 1.5402 4.3563
Th Zr Ag
2 1 1
Direct
0.2500 0.2500 0.2500
0.7500 0.7500 0.7500
0.0000 0.0000 0.0000
0.5000 0.5000 0.5000
```

* total magnetic moment: 0.00 μB per cell
* E_form: 0.11 eV per atom
* total energy: -25.8 eV per cell
* space group: No. 225
* distance to the lowest polymorph of the same formula: 0.31 eV per formula unit


The following is a PBE calculation of a relaxed BeCu2Mo crystal, from Alexandria.

Cell and atoms, written as POSCAR:
```
BeCu2Mo
1.0
5.0431 0.0011 -0.0035
2.4299 4.4191 0.0035
-3.0784 -3.3227 2.2172
Cu Be Mo
2 1 1
Direct
0.7625 0.2625 0.5000
0.0205 0.0205 0.0000
0.2334 0.7334 0.5000
0.4836 0.4836 0.0000
```

* total magnetic moment: 0.00 μB per cell
* E_form: 0.25 eV per atom
* total energy: -21.8 eV per cell
* space group: No. 44


The following is a PBE calculation of a relaxed Fe2HgAu2 crystal, from Alexandria.

Cell and atoms, written as POSCAR:
```
Fe2HgAu2
1.0
7.8204 0.0000 0.0000
0.0000 7.8204 0.0000
0.0000 0.0000 2.8170
Hg Fe Au
2 4 4
Direct
0.0000 0.0000 0.0000
0.5000 0.5000 0.0000
0.3900 0.8900 0.0000
0.6100 0.1100 0.0000
0.1100 0.3900 0.0000
0.8900 0.6100 0.0000
0.8208 0.3208 0.5000
0.6792 0.8208 0.5000
0.3208 0.1792 0.5000
0.1792 0.6792 0.5000
```

* total magnetic moment: 12.13 μB per cell
* E_form: 0.28 eV per atom
* total energy: -44.8 eV per cell
* space group: No. 127


The following is a PBE calculation of a relaxed Sm3Dy6Y crystal, from Alexandria.

Cell and atoms, written as POSCAR:
```
Sm3Dy6Y
1.0
6.3841 0.0000 0.0000
0.0000 10.7576 -1.6249
0.0000 -3.9845 10.1237
Y Dy Sm
2 12 6
Direct
0.1250 0.1906 0.8094
0.6250 0.8094 0.1906
0.3674 0.5250 0.9455
0.1539 0.7282 0.2718
0.0508 0.7144 0.6238
0.6539 0.2718 0.7282
0.3588 0.9647 0.0353
0.0508 0.3762 0.2856
0.5508 0.2856 0.3762
0.8674 0.9455 0.5250
0.3674 0.0545 0.4750
0.5508 0.6238 0.7144
0.8674 0.4750 0.0545
0.8588 0.0353 0.9647
0.9676 0.0628 0.2909
0.4676 0.2909 0.0628
0.9676 0.7091 0.9372
0.4676 0.9372 0.7091
0.0760 0.3874 0.6126
0.5760 0.6126 0.3874
```

* total magnetic moment: 0.00 μB per cell
* E_form: 0.15 eV per atom
* total energy: -93.4 eV per cell
* space group: No. 36
* distance to the lowest polymorph of the same formula: 0.00 eV per formula unit


The following is a PBE calculation of a relaxed Sc12Cd4HgO3 crystal, from Alexandria.

Cell and atoms, written as POSCAR:
```
Sc12Cd4HgO3
1.0
8.0844 0.0000 0.0000
-2.6948 7.6221 0.0000
-2.6948 -3.8110 6.6009
Sc O Cd Hg
12 3 4 1
Direct
0.0000 0.7225 0.7225
0.7225 0.0000 0.7225
0.0000 0.2775 0.2775
0.7500 0.2500 0.5000
0.5000 0.2500 0.7500
0.7225 0.7225 0.0000
0.2500 0.7500 0.5000
0.2775 0.2775 0.0000
0.2500 0.5000 0.7500
0.7500 0.5000 0.2500
0.5000 0.7500 0.2500
0.2775 0.0000 0.2775
0.0000 0.5000 0.5000
0.5000 0.5000 0.0000
0.5000 0.0000 0.5000
0.5000 0.5000 0.5000
0.5000 0.0000 0.0000
0.0000 0.0000 0.5000
0.0000 0.5000 0.0000
0.0000 0.0000 0.0000
```

* total magnetic moment: 0.00 μB per cell
* total energy: -113.0 eV per cell
* space group: No. 229


The following is a PBE calculation of a relaxed BaCaI crystal, from Alexandria.

Cell and atoms, written as POSCAR:
```
BaCaI
1.0
7.3771 0.0000 0.0175
0.0000 4.3447 0.0000
-0.3804 0.0000 8.3819
Ba Ca I
2 2 2
Direct
0.1843 0.0000 0.8188
0.8157 0.0000 0.1812
0.6844 0.5000 0.7807
0.3156 0.5000 0.2193
0.0000 0.5000 0.5000
0.5000 0.0000 0.5000
```

* total magnetic moment: 0.98 μB per cell
* total energy: -15.5 eV per cell
* space group: No. 10
* distance to the lowest polymorph of the same formula: 0.22 eV per formula unit


The following is a PBE calculation of a relaxed Fe2SiBr crystal, from Alexandria.

Cell and atoms, written as POSCAR:
```
Fe2SiBr
1.0
4.1316 0.0058 0.0059
2.9520 2.8907 0.0059
3.5306 1.4437 6.0048
Br Fe Si
1 2 1
Direct
0.2500 0.2500 0.2500
0.9638 0.9638 0.8949
0.5362 0.5362 0.6051
0.7500 0.7500 0.7500
```

* total magnetic moment: 4.37 μB per cell
* total energy: -23.3 eV per cell
* space group: No. 12
* distance to the lowest polymorph of the same formula: 0.39 eV per formula unit


The following is a PBE calculation of a relaxed TlTeP2Cl crystal, from Alexandria.

Cell and atoms, written as POSCAR:
```
TlTeP2Cl
1.0
5.0608 0.0000 0.0000
0.0000 5.0608 0.0000
0.0000 0.0000 5.7726
P Te Tl Cl
2 1 1 1
Direct
0.0000 0.5000 0.0000
0.5000 0.0000 0.0000
0.0000 0.0000 0.0000
0.5000 0.5000 0.5000
0.0000 0.0000 0.5000
```

* total magnetic moment: 0.00 μB per cell
* total energy: -15.6 eV per cell
* space group: No. 123
* distance to the lowest polymorph of the same formula: 0.00 eV per formula unit


The following is a PBE calculation of a relaxed Tb5GaIr2 crystal, from Alexandria.

Cell and atoms, written as POSCAR:
```
Tb5GaIr2
1.0
7.0166 0.0000 -3.3122
-1.5635 6.8402 -3.3122
-0.2350 -0.2947 8.5903
Tb Ir Ga
10 4 2
Direct
0.2005 0.0242 0.7247
0.5242 0.7005 0.7247
0.2995 0.7995 0.2753
0.7005 0.2005 0.7247
0.9758 0.4758 0.2753
0.0000 0.0000 0.0000
0.5000 0.5000 0.0000
0.0242 0.5242 0.7247
0.7995 0.9758 0.2753
0.4758 0.2995 0.2753
0.3620 0.8620 0.0000
0.8620 0.6380 0.0000
0.1380 0.3620 0.0000
0.6380 0.1380 0.0000
0.7500 0.7500 0.5000
0.2500 0.2500 0.5000
```

* total magnetic moment: 0.00 μB per cell
* E_form: -0.67 eV per atom
* total energy: -98.5 eV per cell
* space group: No. 140


The following is a PBE calculation of a relaxed Sr3AsH2 crystal, from Alexandria.

Cell and atoms, written as POSCAR:
```
Sr3AsH2
1.0
4.4650 0.0000 0.0000
0.0000 6.4001 -0.5832
-2.2325 -2.3351 11.4267
As H Sr
2 4 6
Direct
0.6491 0.8918 0.2982
0.3509 0.1082 0.7018
0.9364 0.7657 0.8728
0.0636 0.2343 0.1272
0.2886 0.5885 0.5772
0.7114 0.4115 0.4228
0.7725 0.7863 0.5451
0.3955 0.6372 0.7909
0.6045 0.3628 0.2091
0.2275 0.2137 0.4549
0.0550 0.8282 0.1100
0.9450 0.1718 0.8900
```

* total magnetic moment: 1.98 μB per cell
* total energy: -40.7 eV per cell
* space group: No. 12


The following is a PBE calculation of a relaxed BaInIr crystal, from Alexandria.

Cell and atoms, written as POSCAR:
```
BaInIr
1.0
6.7546 -0.0070 0.0075
5.8370 3.3990 0.0096
0.9176 0.2447 3.3972
Ir Ba In
1 1 1
Direct
0.6923 0.6923 0.3077
0.0148 0.0148 0.9852
0.2929 0.2929 0.7071
```

* total magnetic moment: 0.00 μB per cell
* E_form: -0.07 eV per atom
* total energy: -13.7 eV per cell
* space group: No. 107


The following is a PBE calculation of a relaxed AlAuCl crystal, from Alexandria.

Cell and atoms, written as POSCAR:
```
AlAuCl
1.0
-3.8900 -0.9891 2.3228
0.2350 -1.5283 4.3721
-1.3758 2.7296 3.4875
Al Cl Au
1 1 1
Direct
0.5000 0.5000 0.5000
0.0000 0.0000 0.0000
0.7500 0.7500 0.7500
```

* total magnetic moment: 0.00 μB per cell
* total energy: -8.6 eV per cell
* space group: No. 216
* distance to the lowest polymorph of the same formula: 1.67 eV per formula unit


The following is a PBE calculation of a relaxed DyLuPu4 crystal, from Alexandria.

Cell and atoms, written as POSCAR:
```
DyLuPu4
1.0
-2.9714 0.6024 5.3383
-2.7656 -4.8575 2.5389
2.3048 -2.5270 5.0982
Pu Dy Lu
4 1 1
Direct
0.1250 0.6250 0.6250
0.6250 0.1250 0.6250
0.6250 0.6250 0.6250
0.6250 0.6250 0.1250
0.2500 0.2500 0.2500
0.0000 0.0000 0.0000
```

* total magnetic moment: 22.60 μB per cell
* E_form: 0.23 eV per atom
* total energy: -65.1 eV per cell
* space group: No. 216


The following is a PBE calculation of a relaxed Ba2PmPtO6 crystal, from Alexandria.

Cell and atoms, written as POSCAR:
```
Ba2PmPtO6
1.0
6.0635 0.0000 0.0000
3.0317 5.2511 0.0000
3.0317 1.7504 4.9508
Ba O Pm Pt
2 6 1 1
Direct
0.7500 0.7500 0.7500
0.2500 0.2500 0.2500
0.7662 0.2338 0.2338
0.2338 0.7662 0.7662
0.7662 0.7662 0.2338
0.7662 0.2338 0.7662
0.2338 0.2338 0.7662
0.2338 0.7662 0.2338
0.5000 0.5000 0.5000
0.0000 0.0000 0.0000
```

* total magnetic moment: 0.72 μB per cell
* total energy: -66.2 eV per cell
* space group: No. 225


The following is a PBE calculation of a relaxed SrMoPt2 crystal, from Alexandria.

Cell and atoms, written as POSCAR:
```
SrMoPt2
1.0
3.0093 0.0000 0.0000
0.0000 3.0093 0.0000
0.0000 0.0000 8.3222
Pt Sr Mo
2 1 1
Direct
0.0000 0.0000 0.9601
0.0000 0.0000 0.5399
0.5000 0.5000 0.2500
0.5000 0.5000 0.7500
```

* total magnetic moment: 0.00 μB per cell
* E_form: -0.19 eV per atom
* total energy: -25.4 eV per cell
* space group: No. 123
* distance to the lowest polymorph of the same formula: 0.22 eV per formula unit


The following is a PBE calculation of a relaxed LiLaNbSi2 crystal, from Alexandria.

Cell and atoms, written as POSCAR:
```
LiLaNbSi2
1.0
-3.5115 3.0063 2.3285
-0.6130 -3.0925 3.0684
3.7336 2.1247 2.8873
Li Si La Nb
1 2 1 1
Direct
0.0000 0.5000 0.0000
0.5000 0.0000 0.0000
0.0000 0.0000 0.5000
0.0000 0.0000 0.0000
0.5000 0.5000 0.5000
```

* total magnetic moment: 0.00 μB per cell
* total energy: -19.8 eV per cell
* space group: No. 123


The following is a PBE calculation of a relaxed Zn2CuBr crystal, from Alexandria.

Cell and atoms, written as POSCAR:
```
Zn2CuBr
1.0
3.3653 -0.0069 0.0000
-1.5327 2.9960 0.0000
0.0000 0.0000 7.7685
Zn Br Cu
2 1 1
Direct
0.0000 0.0000 0.5246
0.0000 0.0000 0.9754
0.5000 0.5000 0.2500
0.5000 0.5000 0.7500
```

* total magnetic moment: 0.00 μB per cell
* total energy: -7.8 eV per cell
* space group: No. 65
* distance to the lowest polymorph of the same formula: 0.75 eV per formula unit


The following is a PBE calculation of a relaxed LaU2F8 crystal, from Alexandria.

Cell and atoms, written as POSCAR:
```
LaU2F8
1.0
-2.2083 -1.8713 2.7030
5.2838 -4.1576 1.4385
0.2228 6.6111 1.8576
F La U
8 1 2
Direct
0.3397 0.5578 0.6794
0.8564 0.8564 0.7129
0.3397 0.1217 0.6795
0.6603 0.8783 0.3205
0.1436 0.1436 0.2871
0.0000 0.6844 0.0000
0.6603 0.4422 0.3206
0.0000 0.3156 0.0000
0.5000 0.0000 0.0000
0.8130 0.3130 0.6260
0.1870 0.6870 0.3740
```

* total magnetic moment: 7.01 μB per cell
* total energy: -79.6 eV per cell
* space group: No. 71


The following is a PBE calculation of a relaxed GaBMo2 crystal, from Alexandria.

Cell and atoms, written as POSCAR:
```
GaBMo2
1.0
3.6758 0.0000 0.0000
0.0000 3.6758 0.0000
1.8379 1.8379 8.7815
Ga Mo B
2 4 2
Direct
0.7500 0.2500 0.5000
0.0000 0.0000 0.0000
0.8750 0.8500 0.7500
0.3750 0.4000 0.7500
0.1500 0.6250 0.2500
0.6000 0.1250 0.2500
0.5000 0.5000 0.0000
0.2500 0.7500 0.5000
```

* total magnetic moment: 0.00 μB per cell
* E_form: 0.74 eV per atom
* total energy: -56.8 eV per cell
* space group: No. 122
* distance to the lowest polymorph of the same formula: 3.55 eV per formula unit


The following is a PBE calculation of a relaxed ScMn2CuSb crystal, from Alexandria.

Cell and atoms, written as POSCAR:
```
ScMn2CuSb
1.0
-0.4113 3.3613 3.1734
-3.9413 1.6095 -2.2155
-2.6160 -2.7960 2.6224
Mn Sb Cu Sc
2 1 1 1
Direct
0.0000 0.0000 0.5000
0.5000 0.0000 0.0000
0.5000 0.5000 0.5000
0.0000 0.5000 0.0000
0.0000 0.0000 0.0000
```

* total magnetic moment: 6.10 μB per cell
* total energy: -27.3 eV per cell
* space group: No. 123


The following is a PBE calculation of a relaxed ReOsPt2 crystal, from Alexandria.

Cell and atoms, written as POSCAR:
```
ReOsPt2
1.0
4.7720 0.0042 0.0000
1.5271 4.5211 0.0000
-3.1496 -2.2626 2.7808
Re Os Pt
1 1 2
Direct
0.5000 0.5000 0.0000
0.7500 0.2500 0.5000
0.2500 0.7500 0.5000
0.0000 0.0000 0.0000
```

* total magnetic moment: 0.00 μB per cell
* E_form: 0.03 eV per atom
* total energy: -35.6 eV per cell
* space group: No. 119
* distance to the lowest polymorph of the same formula: 0.47 eV per formula unit


The following is a PBE calculation of a relaxed LiDy2MgS4 crystal, from Alexandria.

Cell and atoms, written as POSCAR:
```
LiDy2MgS4
1.0
3.8287 0.0000 0.0000
0.0000 6.6160 -0.1519
0.0000 2.3090 6.1931
S Li Dy Mg
4 1 2 1
Direct
0.0000 0.2614 0.2504
0.5000 0.2657 0.7438
0.5000 0.7343 0.2562
0.0000 0.7386 0.7496
0.5000 0.5000 0.0000
0.5000 0.0000 0.5000
0.0000 0.0000 0.0000
0.0000 0.5000 0.5000
```

* total magnetic moment: 0.00 μB per cell
* total energy: -43.2 eV per cell
* space group: No. 10


The following is a PBE calculation of a relaxed Nb3Ni2Pt3 crystal, from Alexandria.

Cell and atoms, written as POSCAR:
```
Nb3Ni2Pt3
1.0
4.0372 0.0000 0.0000
0.0000 3.9819 -0.1601
-2.0186 -1.6914 7.6416
Nb Pt Ni
3 3 2
Direct
0.1370 0.6364 0.2741
0.8630 0.3636 0.7259
0.0000 0.0000 0.0000
0.3682 0.8674 0.7363
0.5000 0.5000 0.0000
0.6318 0.1326 0.2637
0.2502 0.2484 0.5004
0.7498 0.7516 0.4996
```

* total magnetic moment: 0.00 μB per cell
* E_form: -0.49 eV per atom
* total energy: -63.8 eV per cell
* space group: No. 12


The following is a PBE calculation of a relaxed Sr2Zn2SnO6 crystal, from Alexandria.

Cell and atoms, written as POSCAR:
```
Sr2Zn2SnO6
1.0
-4.8018 -2.8226 2.1170
-0.3715 -1.3062 5.8019
-4.1370 3.4224 3.5655
Zn O Sr Sn
2 6 2 1
Direct
0.4126 0.4126 0.7623
0.5874 0.5874 0.2377
0.7632 0.2195 0.2541
0.2368 0.2368 0.7459
0.2195 0.7632 0.2541
0.7805 0.2368 0.7459
0.2368 0.7805 0.7459
0.7632 0.7632 0.2541
0.2068 0.2068 0.3797
0.7932 0.7932 0.6203
0.0000 0.0000 0.0000
```

* total magnetic moment: 0.00 μB per cell
* total energy: -60.2 eV per cell
* space group: No. 166